1.
! Zr2ScRu4, optimized geometry, DFT PBE; values from VASP
! Space group   I4/mmm
! Spin magnetization   0.00 Bohr magnetons per cell
! DOS at the Fermi energy   6.38 states/eV per cell
! Total energy   -8.677 eV per atom
! Energy relative to the elements   -30 meV/atom
&SYSTEM
  ibrav = 0, nat = 7, ntyp = 3
/
ATOMIC_SPECIES
Sc 44.96 Sc.upf
Ru 101.07 Ru.upf
Zr 91.22 Zr.upf
CELL_PARAMETERS angstrom
-0.0896 0.2621 -5.4820
-0.3588 -5.2317 1.6217
-4.2560 2.7816 2.0684
ATOMIC_POSITIONS angstrom
Sc 0.0000 0.0000 0.0000
Ru -0.0448 0.1310 -2.7410
Zr -0.2242 -2.4848 -1.9302
Zr -2.1728 1.5219 -1.7068
Ru -2.1280 1.3908 1.0342
Ru -2.3522 -1.0940 -0.8960
Ru -0.1794 -2.6159 0.8108

***

2.
! KAlGe2O6, optimized geometry, DFT PBE; values from VASP
! Space group   C2/c
! Spin magnetization   0.00 Bohr magnetons per cell
! DOS at the Fermi energy   0.00 states/eV per cell
! Total energy   -6.406 eV per atom
&SYSTEM
  ibrav = 0, nat = 20, ntyp = 4
/
ATOMIC_SPECIES
O 16.00 O.upf
Al 26.98 Al.upf
K 39.10 K.upf
Ge 72.64 Ge.upf
CELL_PARAMETERS angstrom
-5.4212 -1.1643 1.6528
0.4325 -6.6245 3.7062
-1.0936 4.1392 6.2832
ATOMIC_POSITIONS angstrom
O -1.3557 -1.9282 1.4027
O -5.3236 -1.5331 4.9393
Al -2.1082 1.4451 6.1210
O -3.4701 0.4787 5.6077
O -1.6474 -3.7384 8.7908
O -0.1507 -3.2332 3.7532
O -2.5066 -1.7013 3.9332
K -4.9958 2.1118 7.2465
K -1.0864 -5.7615 4.3957
O -2.6121 -4.1284 6.0345
Ge -3.8841 -0.6438 4.3507
Al -3.9741 -5.0947 5.5211
Ge -0.9239 -1.8223 3.1028
O -3.5756 -1.9484 7.7089
O -4.7265 -1.7214 10.2395
O -4.4348 0.0888 2.8513
O -5.9315 -0.4164 7.8889
O -0.7587 -2.1165 6.7029
Ge -2.1982 -3.0058 7.2915
Ge -5.1584 -1.8273 8.5394

***

> What is the spin magnetization in the first record?

0.00 Bohr magnetons per cell

***

> What is the DOS at the Fermi energy in the second record?

0.00 states/eV per cell